Record 1
The following is a PBE calculation of AgHgAuSe2 after structural relaxation, from the Alexandria database.

Summary:
Magnetization = 0.0 μB/f.u.

a b c (Å): 6.4860 6.7277 6.0574
angles (deg): 90.00 90.62 90.00
Space group P2/c (No. 13)
Inequivalent atoms, fractional coordinates:
Ag 0.0000 0.1023 0.2500 (multiplicity 2)
Hg 0.5000 0.2452 0.2500 (multiplicity 2)
Au 0.0000 0.5000 0.0000 (multiplicity 2)
Se 0.2529 0.2305 0.9248 (multiplicity 4)


Record 2
The following is a PBE calculation of Rb2ScNbI6 after structural relaxation, from the Alexandria database.

Summary:
Magnetization = 2.0 μB/f.u.

a b c (Å): 11.7023 11.7023 11.7023
angles (deg): 90.00 90.00 90.00
Space group Fm-3m (No. 225)
Inequivalent atoms, fractional coordinates:
Rb 0.2500 0.2500 0.2500 (multiplicity 8)
Sc 0.0000 0.0000 0.0000 (multiplicity 4)
Nb 0.0000 0.0000 0.5000 (multiplicity 4)
I 0.0000 0.0000 0.2515 (multiplicity 24)


| no. | volume (A^3/atom) | uncorrected formation energy (eV per formula unit) |
| --- | --- | --- |
| 1 | 26.43 | -0.505 |
| 2 | 40.06 | -8.680 |